First-principles (PBE) data for crystalline CaScTe2 at its relaxed geometry, as listed in Alexandria.

abc: 9.2822 9.2822 9.2822
angles: 28.48 28.48 28.48
Site moments in Bohr magnetons follow the coordinates.
Sites, in units of the cell vectors:
Sc (0.0000, 0.0000, 0.0000)  0.35
Ca (0.5000, 0.5000, 0.5000)  0.00
Te (0.8991, 0.8991, 0.8991)  0.00
Te (0.1009, 0.1009, 0.1009)  0.00

Properties
As for the total magnetization: 0.7 μB per formula unit. Its formation energy (no corrections) is -0.75 eV per atom.

First-principles (PBE) data for crystalline Y3CrPd at its relaxed geometry, as listed in Alexandria.

abc: 5.3380 5.3380 5.3380
angles: 90.00 90.00 90.00
Site moments in Bohr magnetons follow the coordinates.
Sites, in units of the cell vectors:
Y (0.0000, 0.5000, 0.0000)  0.01
Y (0.0000, 0.0000, 0.5000)  0.00
Y (0.5000, 0.0000, 0.0000)  0.00
Cr (0.5000, 0.5000, 0.5000)  0.39
Pd (0.0000, 0.0000, 0.0000)  0.01

Properties
For the energy, the calculation gives -6.210 eV/atom. As for the total magnetization: 0.3 μB per formula unit.

First-principles (PBE) data for crystalline LiHfNb3 at its relaxed geometry, as listed in Alexandria.

abc: 4.9884 4.9884 4.9884
angles: 90.00 90.00 90.00
Site moments in Bohr magnetons follow the coordinates.
Sites, in units of the cell vectors:
Nb (0.0000, 0.5000, 0.0000)  0.15
Nb (0.0000, 0.0000, 0.5000)  0.10
Nb (0.5000, 0.0000, 0.0000)  0.32
Hf (0.0000, 0.0000, 0.0000)  0.01
Li (0.5000, 0.5000, 0.5000)  0.00

Properties
For the energy, the calculation gives -6.792 eV/atom. As for the total magnetization: 0.8 μB per formula unit.